# 1
CsAs2H (PBE, optimized geometry); space-group type = Fm-3m, No. 225; magnetic moment = 0.0 μB/f.u.; DOS(E_F) = 4.1 states/eV/cell; calculated total energy = -2.159 eV/atom; mass density = 4.59 Mg/m³
1.0
-1.4648 -1.8103 4.7115
-3.8295 2.4153 2.6687
-4.6729 -2.3338 0.5817
As H Cs
2 1 1
direct
0.2500 0.2500 0.2500
0.7500 0.7500 0.7500
0.0000 0.0000 0.0000
0.5000 0.5000 0.5000

---

# 2
Tb2Pr4DyY2 (PBE, optimized geometry); energy relative to the elements = 0.020 eV/atom; space-group type = C2/m, No. 12; magnetic moment = 0.0 μB/f.u.; DOS(E_F) = 14.1 states/eV/cell; mass density = 6.66 Mg/m³
1.0
5.1363 0.0000 0.0000
-2.5681 7.7173 0.0075
0.0000 -2.5753 7.6814
Y Pr Tb Dy
2 4 2 1
direct
0.3332 0.6664 0.0004
0.6668 0.3336 0.9996
0.4459 0.8918 0.6683
0.7773 0.5546 0.6671
0.2227 0.4454 0.3329
0.5541 0.1082 0.3317
0.8891 0.7781 0.3310
0.1109 0.2219 0.6690
0.0000 0.0000 0.0000

---

# 3
TlAsPd3 (PBE, optimized geometry); energy relative to the elements = 0.015 eV/atom; space-group type = Pm-3m, No. 221; magnetic moment = 0.0 μB/f.u.; DOS(E_F) = 4.6 states/eV/cell; mass density = 9.41 Mg/m³; energy above the most stable polymorph in this dataset = 252 meV per atom
1.0
4.7278 0.0000 0.0000
0.0000 4.7278 0.0000
0.0000 0.0000 4.7278
Tl Pd As
1 3 1
direct
0.5000 0.5000 0.5000
0.5000 0.0000 0.0000
0.0000 0.0000 0.5000
0.0000 0.5000 0.0000
0.0000 0.0000 0.0000

---

# 4
SmThGa3 (PBE, optimized geometry); energy relative to the elements = -0.611 eV/atom; space-group type = Cmcm, No. 63; magnetic moment = 0.0 μB/f.u.; DOS(E_F) = 7.4 states/eV/cell; mass density = 8.29 Mg/m³
1.0
4.1961 0.0000 0.0000
0.0000 4.2973 0.0000
0.0000 -2.1486 13.1357
Th Ga Sm
2 6 2
direct
0.7500 0.2054 0.4108
0.2500 0.7946 0.5892
0.7500 0.3277 0.6554
0.7500 0.6169 0.2338
0.2500 0.3831 0.7662
0.2500 0.6723 0.3446
0.7500 0.5235 0.0469
0.2500 0.4765 0.9531
0.2500 0.0714 0.1427
0.7500 0.9286 0.8573

---

# 5
NbTeNO2 (PBE, optimized geometry); space-group type = P4/mmm, No. 123; magnetic moment = 2.7 μB/f.u.; DOS(E_F) = 3.9 states/eV/cell; mass density = 6.28 Mg/m³; formation energy from raw total energies = 0.400 eV per atom
1.0
-1.4609 3.3572 1.7686
-1.8059 1.0517 -3.4879
-3.4996 -2.1378 1.1673
Nb N O Te
1 1 2 1
direct
0.5000 0.5000 0.5000
0.0000 0.0000 0.5000
0.5000 0.0000 0.0000
0.0000 0.5000 0.0000
0.0000 0.0000 0.0000

---

# 6
RbPdSe2 (PBE, optimized geometry); space-group type = Fm-3m, No. 225; magnetic moment = 0.0 μB/f.u.; DOS(E_F) = 9.3 states/eV/cell; mass density = 6.19 Mg/m³; formation energy from raw total energies = 0.113 eV per atom
1.0
-3.5228 1.8673 3.1808
-3.7870 2.8996 -1.8071
-4.7652 -1.8144 -0.1230
Se Pd Rb
2 1 1
direct
0.7500 0.7500 0.7500
0.2500 0.2500 0.2500
0.5000 0.5000 0.5000
0.0000 0.0000 0.0000